Record 1
Below is crystalline BaCa2Ni at its relaxed geometry, with properties calculated at the GGA-PBEsol level.

Cell lengths 7.6774, 7.6774, 7.6774 Å; angles 90.00, 90.00, 90.00 degrees
Closest atoms and distances in Å follow each position.
Space group Fm-3m (No. 225)
Inequivalent atoms, fractional coordinates:
Ba 0.0000 0.0000 0.0000 (multiplicity 4)  8 Ca 3.32
Ca 0.2500 0.2500 0.2500 (multiplicity 8)  4 Ba 3.32, 4 Ni 3.32
Ni 0.0000 0.0000 0.5000 (multiplicity 4)  8 Ca 3.32

Calculated values
**ΔE to the lowest computed polymorph**: 101 kJ/mol of formula units

***

Record 2
Below is crystalline Cs3HgI at its relaxed geometry, with properties calculated at the GGA-PBEsol level.

Cell lengths 7.2977, 7.2977, 7.2977 Å; angles 90.00, 90.00, 90.00 degrees
Closest atoms and distances in Å follow each position.
Space group Pm-3m (No. 221)
Inequivalent atoms, fractional coordinates:
Cs 0.0000 0.0000 0.5000 (multiplicity 3)  2 I 3.65
Hg 0.5000 0.5000 0.5000 (multiplicity 1)  12 Cs 5.16
I 0.0000 0.0000 0.0000 (multiplicity 1)  6 Cs 3.65

Calculated values
**E_tot**: -1.524 eV per atom

***

Record 3
Below is crystalline TaMoW2 at its relaxed geometry, with properties calculated at the GGA-PBEsol level.

Cell lengths 2.7598, 4.4828, 5.2423 Å; angles 90.00, 100.28, 90.00 degrees
Closest atoms and distances in Å follow each position.
Space group P2/m (No. 10)
Inequivalent atoms, fractional coordinates:
Ta 0.0000 0.0000 0.0000 (multiplicity 1)  2 Mo 2.74, 4 W 2.76, 2 Ta 2.76
Mo 0.5000 0.0000 0.5000 (multiplicity 1)  2 Ta 2.74, 4 W 2.74, 2 Mo 2.76
W 0.2563 0.5000 0.7486 (multiplicity 2)  4 W 2.73-2.76, 2 Mo 2.74, 2 Ta 2.76

Calculated values
**ΔE to the lowest computed polymorph**: 12 kJ/mol of formula units